Compound: Cs2Tl3Te2Cl2
Source: the Alexandria database
Functional: GGA-PBE
Structure: optimized geometry

Structure (CIF):
```
data_Cs2Tl3Te2Cl2
_chemical_formula_sum 'Cs2 Tl3 Te2 Cl2'
_space_group_name_H-M_alt 'P 1'
_space_group_IT_number 1
_space_group_name_Hall 'P 1'
_cell_length_a 11.0576
_cell_length_b 11.0576
_cell_length_c 11.0576
_cell_angle_alpha 148.53
_cell_angle_beta 148.53
_cell_angle_gamma 45.11
loop_
_atom_site_label
_atom_site_type_symbol
_atom_site_fract_x
_atom_site_fract_y
_atom_site_fract_z
_atom_site_occupancy
Cs1 Cs 0.0988 0.0988 0.0000 1
Cs2 Cs 0.9012 0.9012 0.0000 1
Tl1 Tl 0.2500 0.7500 0.5000 1
Tl2 Tl 0.5000 0.5000 0.0000 1
Tl3 Tl 0.7500 0.2500 0.5000 1
Te1 Te 0.3118 0.3118 0.0000 1
Te2 Te 0.6882 0.6882 0.0000 1
Cl1 Cl 0.0000 0.5000 0.5000 1
Cl2 Cl 0.5000 0.0000 0.5000 1
```

Properties
**Raw formation energy**: -88.7 kJ/mol of atoms
**Density of states at the Fermi level**: 0.38 states/eV per atom